Record 1
5
Lattice="-2.424 -3.830 -0.478 2.362 -1.939 3.562 -3.197 1.646 3.016" Properties=species:S:1:pos:R:3 comment="P2WSeCl, optimized geometry, DFT PBEsol" space_group="P4/mmm, No. 123" pbc="T T T"
W -1.630 -2.061 3.050
P -1.599 0.823 1.508
P 1.181 -0.970 1.781
Cl -1.212 -1.915 -0.239
Se 0.000 0.000 0.000

***

Record 2
5
Lattice="-1.346 -1.431 4.242 3.982 -2.408 0.451 2.233 4.083 2.086" Properties=species:S:1:pos:R:3 comment="PWSeCl2, optimized geometry, DFT PBEsol" space_group="P4/mmm, No. 123" pbc="T T T"
Cl 1.991 -1.204 0.225
Cl -0.673 -0.716 2.121
W 2.435 0.122 3.390
Se 0.000 0.000 0.000
P 1.116 2.042 1.043

***

Record 3
5
Lattice="4.906 0.000 0.000 0.000 5.333 0.000 0.000 0.000 5.333" Properties=species:S:1:pos:R:3 comment="YP2SeCl, optimized geometry, DFT PBEsol" space_group="P4/mmm, No. 123" pbc="T T T"
Cl 2.453 0.000 0.000
Se 2.453 2.666 2.666
Y 0.000 0.000 0.000
P 0.000 0.000 2.666
P 0.000 2.666 0.000

***

Record 4
6
Lattice="-5.170 -1.427 0.187 -1.840 -3.855 -3.250 -1.395 -4.773 2.019" Properties=species:S:1:pos:R:3 comment="SiP4Cl, optimized geometry, DFT PBEsol" space_group="F-43m, No. 216" pbc="T T T"
P -3.791 -6.344 0.807
P -2.978 -3.562 -0.370
P -4.050 -5.809 -2.264
P -5.991 -4.394 -0.260
Si -6.304 -7.541 -0.783
Cl 0.000 0.000 0.000

***

Record 5
4
Lattice="-1.287 -2.771 -0.042 2.717 -1.270 0.586 -1.332 0.507 7.278" Properties=species:S:1:pos:R:3 comment="SiP2Cl, optimized geometry, DFT PBEsol" space_group="P4mm, No. 99" pbc="T T T"
Cl -0.218 -1.665 5.369
P 0.408 -1.904 1.949
P -0.123 0.047 0.673
Si -0.635 0.242 3.470

***

Record 6
8
Lattice="4.503 0.000 0.000 2.251 6.753 0.000 2.251 0.000 6.753" Properties=species:S:1:pos:R:3 comment="SiPCl2, optimized geometry, DFT PBEsol" e_above_lowest_polymorph_mev_per_atom=0 space_group="I-42d, No. 122" pbc="T T T"
Cl 3.940 5.136 1.760
Cl 2.814 1.760 1.616
Cl 7.317 4.993 5.136
Cl 3.940 1.616 4.993
Si 2.251 0.000 0.000
Si 3.377 3.376 3.376
P 5.628 3.376 3.376
P 0.000 0.000 0.000

***

Record 7
4
Lattice="2.974 0.000 0.000 0.000 3.985 0.000 0.000 0.000 5.867" Properties=species:S:1:pos:R:3 comment="SiPCl2, optimized geometry, DFT PBEsol" e_above_lowest_polymorph_mev_per_atom=382 space_group="Pmmm, No. 47" pbc="T T T"
P 1.487 1.992 0.000
Cl 0.000 0.000 1.480
Cl 0.000 0.000 4.386
Si 1.487 1.992 2.933

***

Record 8
4
Lattice="4.546 0.000 0.000 2.273 3.937 0.000 2.273 1.312 3.712" Properties=species:S:1:pos:R:3 comment="SiPCl2, optimized geometry, DFT PBEsol" e_above_lowest_polymorph_mev_per_atom=226 space_group="F-43m, No. 216" pbc="T T T"
P 4.546 2.624 1.856
Cl 0.000 0.000 0.000
Cl 2.273 1.312 0.928
Si 6.819 3.937 2.784

***

Record 9
5
Lattice="-1.622 2.367 4.100 -4.292 -2.566 -0.217 2.061 -3.698 2.951" Properties=species:S:1:pos:R:3 comment="SiSnPCl2, optimized geometry, DFT PBEsol" space_group="P4/mmm, No. 123" pbc="T T T"
Cl -0.811 1.184 2.050
Cl -2.146 -1.283 -0.108
P 1.031 -1.849 1.475
Sn 0.000 0.000 0.000
Si -1.926 -1.948 3.417

***

Record 10
5
Lattice="-0.089 -3.408 2.624 4.180 -1.056 -1.230 1.618 2.524 3.333" Properties=species:S:1:pos:R:3 comment="TaSiP2Cl, optimized geometry, DFT PBEsol" space_group="P4/mmm, No. 123" pbc="T T T"
Si 0.000 0.000 0.000
Ta 2.855 -0.970 2.364
P 2.090 -0.528 -0.615
P 0.809 1.262 1.666
Cl -0.044 -1.704 1.312

***

Record 11
5
Lattice="4.538 0.000 0.000 0.000 4.538 0.000 0.000 0.000 5.008" Properties=species:S:1:pos:R:3 comment="TiSiPCl2, optimized geometry, DFT PBEsol" e_above_lowest_polymorph_mev_per_atom=0 space_group="P4/mmm, No. 123" pbc="T T T"
Cl 0.000 2.269 0.000
Cl 2.269 0.000 0.000
Si 2.269 2.269 2.504
Ti 0.000 0.000 0.000
P 0.000 0.000 2.504

***

Record 12
5
Lattice="-3.226 -1.263 -2.904 -2.544 -1.436 3.450 -1.978 4.295 0.329" Properties=species:S:1:pos:R:3 comment="TiSiPCl2, optimized geometry, DFT PBEsol" e_above_lowest_polymorph_mev_per_atom=330 space_group="P4/mmm, No. 123" pbc="T T T"
Cl -1.272 -0.718 1.725
Cl -1.613 -0.632 -1.452
P -0.989 2.147 0.164
Ti -3.874 0.798 0.437
Si 0.000 0.000 0.000

***

Record 13
22
Lattice="-3.215 4.691 4.328 -7.575 -1.706 -4.786 -0.099 -7.249 6.047" Properties=species:S:1:pos:R:3 comment="SnPCl9, optimized geometry, DFT PBEsol" e_above_lowest_polymorph_mev_per_atom=0 space_group="P-1, No. 2" pbc="T T T"
Sn -3.965 -1.174 1.911
Sn -6.924 -3.090 3.678
Cl -7.452 2.168 1.240
Cl -2.318 -2.042 0.405
Cl -8.571 -2.222 5.184
Cl -4.794 -0.083 6.664
Cl -8.238 -2.628 1.732
Cl -4.951 -3.572 2.091
Cl -7.645 -5.396 3.634
Cl -3.437 -6.432 4.348
Cl -9.699 0.257 0.089
Cl -7.313 -1.761 -2.743
Cl -6.095 -4.182 -1.076
Cl -3.244 1.131 1.954
Cl -5.938 -0.693 3.498
Cl -5.394 -3.528 5.484
Cl -5.495 -0.736 0.105
Cl -2.651 -1.636 3.856
Cl -1.190 -4.522 5.500
Cl -3.576 -2.504 8.331
P -9.237 1.463 1.556
P -1.652 -5.728 4.032

***

Record 14
22
Lattice="-6.298 -0.465 1.026 -1.544 -1.197 -10.028 1.362 -9.223 4.178" Properties=species:S:1:pos:R:3 comment="SnPCl9, optimized geometry, DFT PBEsol" e_above_lowest_polymorph_mev_per_atom=7 space_group="Cmme, No. 67" pbc="T T T"
Cl -1.986 -9.487 -3.650
Cl -6.940 -2.440 -7.645
Cl -1.051 -5.544 1.916
Cl -4.494 -1.398 -1.175
Cl -2.344 -6.443 -4.465
Cl -3.961 -7.556 1.375
Cl -2.287 -3.194 -2.641
Cl -1.860 -2.315 0.377
Cl 0.459 -8.445 2.821
Cl -2.519 -3.329 -6.199
Cl -4.137 -4.443 -0.360
Cl -5.429 -5.342 -6.741
Cl -1.114 -9.143 -0.104
Cl -4.620 -8.570 -5.201
Cl -0.398 -6.077 -1.371
Cl -5.366 -1.743 -4.720
Cl -6.082 -4.808 -3.453
Cl -4.193 -7.691 -2.183
P -3.195 -2.838 -0.950
P -3.286 -8.048 -3.875
Sn 0.017 -7.262 0.727
Sn -6.497 -3.623 -5.551

***

Record 15
5
Lattice="5.023 0.000 0.000 0.000 5.023 0.000 0.000 0.000 5.303" Properties=species:S:1:pos:R:3 comment="TlSnP2Cl, optimized geometry, DFT PBEsol" space_group="P4/mmm, No. 123" pbc="T T T"
Cl 0.000 0.000 2.652
P 0.000 2.511 0.000
P 2.511 0.000 0.000
Sn 0.000 0.000 0.000
Tl 2.511 2.511 2.652

***

Record 16
5
Lattice="4.934 0.000 0.000 0.000 4.974 0.000 0.000 0.000 4.974" Properties=species:S:1:pos:R:3 comment="YSnP2Cl, optimized geometry, DFT PBEsol" space_group="P4/mmm, No. 123" pbc="T T T"
Sn 0.000 0.000 0.000
P 0.000 2.487 0.000
P 0.000 0.000 2.487
Y 2.467 2.487 2.487
Cl 2.467 0.000 0.000

***

Record 17
4
Lattice="3.535 0.000 0.000 0.000 3.945 -0.109 0.000 -1.206 6.883" Properties=species:S:1:pos:R:3 comment="SrP2Cl, optimized geometry, DFT PBEsol" e_above_lowest_polymorph_mev_per_atom=0 space_group="Pm, No. 6" pbc="T T T"
P 0.000 -0.149 0.935
P 1.768 2.469 1.088
Sr 0.000 1.864 3.464
Cl 1.768 -0.075 4.674

***

Record 18
6
Lattice="5.884 0.000 0.000 2.942 5.096 0.000 2.942 1.699 4.804" Properties=species:S:1:pos:R:3 comment="SrPCl4, optimized geometry, DFT PBEsol" space_group="F-43m, No. 216" pbc="T T T"
Cl 4.411 2.547 1.801
Cl 5.884 5.098 1.801
Cl 5.884 3.397 4.207
Cl 7.357 2.547 1.801
P 8.826 5.096 3.603
Sr 0.000 0.000 0.000

***

Record 19
3
Lattice="3.410 0.000 0.000 0.000 3.410 0.000 -1.705 -1.705 6.868" Properties=species:S:1:pos:R:3 comment="SrPCl, optimized geometry, DFT PBEsol" space_group="I4mm, No. 107" pbc="T T T"
P 1.705 1.705 2.614
Sr 0.000 0.000 4.783
Cl 1.705 1.705 6.339

***

Record 20
4
Lattice="4.351 0.000 0.000 0.000 4.351 0.000 0.000 0.000 5.585" Properties=species:S:1:pos:R:3 comment="SrP2Cl, optimized geometry, DFT PBEsol" e_above_lowest_polymorph_mev_per_atom=309 space_group="P4/mmm, No. 123" pbc="T T T"
P 0.000 0.000 4.573
P 0.000 0.000 1.012
Cl 2.176 2.176 2.793
Sr 2.176 2.176 0.000

***

Raw formation energy values, unit eV/atom, following the record order: 1.615; 1.470; 0.277; 0.450; 0.200; 0.212; 0.593; 0.438; 0.468; 0.760; -0.140; 0.191; -0.770; -0.762; 0.391; -0.059; -0.974; -0.129; -0.761; -0.666.
DOS(E_F) values, unit states/eV per atom, following the record order: 0.78; 1.03; 0.94; 0.35; 0.30; 0.71; 0.66; 1.17; 0.51; 0.70; 0.59; 1.22; 0.00; 0.00; 0.87; 0.39; 0.18; 1.12; 0.48; 0.76.